Record 1
First-principles (meta-GGA SCAN) data for Na2Sn2Pd at its PBEsol-relaxed geometry, as listed in the Alexandria database.

Cell lengths 5.154, 6.883, 6.883 Å; angles 90.00, 90.00, 90.00 degrees
Positions (direct):
Na  0.500  0.172  0.672
Na  0.500  0.672  0.828
Na  0.500  0.828  0.328
Na  0.500  0.328  0.172
Sn  0.000  0.354  0.854
Sn  0.000  0.854  0.646
Sn  0.000  0.646  0.146
Sn  0.000  0.146  0.354
Pd  0.000  0.000  0.000
Pd  0.000  0.500  0.500

Summary:
- calculated total energy (eV per atom) = -22.93
- DFT formation energy (eV per atom) = -0.323
- volume (Å³/atom) = 24.42

=====

Record 2
First-principles (meta-GGA SCAN) data for CdWAu2 at its PBEsol-relaxed geometry, as listed in the Alexandria database.

Cell lengths 4.599, 4.599, 4.599 Å; angles 60.00, 60.00, 60.00 degrees
Site moments in Bohr magnetons follow the coordinates.
Positions (direct):
Au  0.250  0.250  0.250  0.03
Au  0.750  0.750  0.750  0.03
W  0.500  0.500  0.500  1.13
Cd  0.000  0.000  0.000  -0.01

Summary:
- calculated total energy (eV per atom) = -59.10
- DFT formation energy (eV per atom) = 0.504
- volume (Å³/atom) = 17.19